1.
Al2GePd5: relaxed, PBE.

Fermi-level density of states: 3.44 states/eV/f.u.
total energy: -41.123 eV/f.u.
magnetization: 0.0 μB/f.u.
ΔE_f: -36.9 kJ/mol of atoms

a b c (Å): 2.860 14.529 13.254
angles (deg): 90.00 90.00 90.00
Space group Cmcm (No. 63)
Inequivalent atoms, fractional coordinates:
Al1 0.000 0.124 0.063 [8 per cell]
Ge1 0.000 0.149 0.750 [4 per cell]
Pd1 0.000 0.039 0.602 [8 per cell]
Pd2 0.000 0.174 0.250 [4 per cell]
Pd3 0.000 0.235 0.590 [8 per cell]

=====

2.
AlGe3Pd: relaxed, PBE.

Fermi-level density of states: 2.14 states/eV/f.u.
total energy: -19.485 eV/f.u.
magnetization: 0.0 μB/f.u.
ΔE_f: 63.7 kJ/mol of atoms

a b c (Å): 4.797 4.797 4.797
angles (deg): 90.00 90.00 90.00
Space group Pm-3m (No. 221)
Inequivalent atoms, fractional coordinates:
Al1 0.000 0.000 0.000 [1 per cell]
Ge1 0.000 0.000 0.500 [3 per cell]
Pd1 0.500 0.500 0.500 [1 per cell]

=====

3.
AlGe3Pd: relaxed, PBE.

Fermi-level density of states: 4.43 states/eV/f.u.
total energy: -20.694 eV/f.u.
magnetization: 0.0 μB/f.u.
ΔE_f: 40.4 kJ/mol of atoms

a b c (Å): 4.871 4.871 4.871
angles (deg): 90.00 90.00 90.00
Space group Pm-3m (No. 221)
Inequivalent atoms, fractional coordinates:
Al1 0.000 0.000 0.000 [1 per cell]
Ge1 0.000 0.500 0.500 [3 per cell]
Pd1 0.500 0.500 0.500 [1 per cell]

=====

Record-wise ΔE to the lowest computed polymorph values, in eV/atom: 0.3206; 0.2419; 0.0000